{"formula": "Na2Pm5Sn5", "functional": "PBE", "state": "optimized geometry", "lattice": [[4.454, -2.574, 0.000], [4.454, 2.574, 0.000], [-2.952, 0.000, 15.297]], "species": ["Na", "Na", "Pm", "Pm", "Pm", "Pm", "Pm", "Sn", "Sn", "Sn", "Sn", "Sn"], "frac_coords": [[0.069, 0.069, 0.208], [0.931, 0.931, 0.792], [0.222, 0.222, 0.664], [0.304, 0.304, 0.912], [0.500, 0.500, 0.500], [0.696, 0.696, 0.088], [0.778, 0.778, 0.336], [0.000, 0.000, 0.000], [0.141, 0.141, 0.423], [0.407, 0.407, 0.221], [0.593, 0.593, 0.779], [0.859, 0.859, 0.577]], "formation_enthalpy_0k_ev_per_atom": -0.490, "space_group": "C2/m (12)", "total_magnetization_mub_per_cell": 0.0, "vol_a3_per_cell": 350.7, "mass_density_kg_m3": 6460, "crystal_system": "monoclinic", "n_ef_per_ev_atom": 0.5642}